Record 1
A geometry-optimized MgScW2 structure, computed with GGA-PBE.

## Properties
**Total DFT energy (no corrections)**: -32.36 eV/cell
**Total moment**: 0.0 μB/cell
**E_form**: 35.5 kJ per mole of atoms

a = 5.547 Å, b = 5.522 Å, c = 2.758 Å
α = 82.34°, β = 76.60°, γ = 116.38°
Fractional positions:
W: 0.000 0.000 0.000
W: 0.500 0.000 0.500
Sc: 0.500 0.500 0.000
Mg: 0.000 0.500 0.500



Record 2
A geometry-optimized MgScW2 structure, computed with GGA-PBE.

## Properties
**Total DFT energy (no corrections)**: -32.25 eV/cell
**Total moment**: 0.0 μB/cell
**E_form**: 38.2 kJ per mole of atoms

a = 5.432 Å, b = 5.432 Å, c = 2.749 Å
α = 90.00°, β = 90.00°, γ = 118.38°
Fractional positions:
Sc: 0.000 0.500 0.500
Mg: 0.500 0.000 0.500
W: 0.500 0.500 0.000
W: 0.000 0.000 0.000



Record 3
A geometry-optimized MgScW2 structure, computed with GGA-PBE.

## Properties
**Total DFT energy (no corrections)**: -32.26 eV/cell
**Total moment**: 0.0 μB/cell
**E_form**: 37.8 kJ per mole of atoms

a = 2.752 Å, b = 4.722 Å, c = 5.546 Å
α = 90.00°, β = 90.00°, γ = 90.00°
Fractional positions:
W: 0.000 0.000 0.511
W: 0.000 0.000 0.989
Sc: 0.500 0.500 0.750
Mg: 0.500 0.500 0.250



Record 4
A geometry-optimized MgSc2W structure, computed with GGA-PBE.

## Properties
**Total DFT energy (no corrections)**: -26.28 eV/cell
**Total moment**: 0.0 μB/cell
**E_form**: 22.4 kJ per mole of atoms

a = 5.049 Å, b = 2.914 Å, c = 5.480 Å
α = 89.98°, β = 90.00°, γ = 90.00°
Fractional positions:
Sc: 0.000 0.125 0.969
Mg: 0.500 0.625 0.774
W: 0.000 0.625 0.457
Sc: 0.500 0.125 0.300